The following is a GGA-PBE calculation of a geometry-optimized CoTcW2 structure, from Alexandria via LeMat-Bulk.

The spin magnetization comes out at 0.53 μB/f.u. The energy above the most stable polymorph in this dataset is 199 meV per atom. The density of states at the Fermi level is 14.21 states/eV per cell. For the uncorrected energy, the calculation gives -10.529 eV per atom. Its formation energy is 0.3159 eV/atom.

Cell lengths 2.7352, 2.7352, 27.1625 Å; angles 90.00, 90.00, 120.00 degrees
Space group R3m (No. 160, hexagonal axes)
Unique sites:
1 Co 0.0000 0.0000 0.0000 (multiplicity 3)
2 Tc 0.0000 0.0000 0.2576 (multiplicity 3)
3 W 0.0000 0.0000 0.5036 (multiplicity 3)
4 W 0.0000 0.0000 0.7447 (multiplicity 3)